Record 1
Below is a relaxed ErFe3Ge3 crystal, with properties calculated at the GGA-PBE level.

Results
The density of states at the Fermi level is 5.23 states/eV/f.u. As for the formation energy: -14.4 kJ per mole of atoms. As for the total moment: 5.3 μB per formula unit. The value obtained for the distance to the lowest polymorph of the same formula is 98 meV per atom.

Unit cell a=5.8368 b=5.8430 c=7.9856 alpha=96.52 beta=109.63 gamma=112.51
Space group P-1 (No. 2)
One atom of each set of equivalent atoms:
Er 0.2333 0.4966 0.2315 x2
Fe 0.1188 0.2146 0.8336 x2
Fe 0.2196 0.9655 0.0590 x2
Fe 0.4068 0.6592 0.9410 x2
Ge 0.1723 0.4256 0.5982 x2
Ge 0.3113 0.9538 0.7661 x2
Ge 0.3272 0.0712 0.4016 x2



Record 2
Below is a relaxed NaNpHgBr6 crystal, with properties calculated at the GGA-PBE level.

Results
The density of states at the Fermi level is 7.96 states/eV/f.u. As for the total moment: 2.0 μB per formula unit. The value obtained for the uncorrected formation energy is -1.06 eV/atom.

Unit cell a=7.4111 b=7.4111 c=8.0934 alpha=90.00 beta=90.00 gamma=120.00
Space group P312 (No. 149)
One atom of each set of equivalent atoms:
Na 0.0000 0.0000 0.0000 x1
Np 0.3333 0.6667 0.0000 x1
Hg 0.6667 0.3333 0.5000 x1
Br 0.0394 0.3665 0.1945 x6



Record 3
Below is a relaxed TaFeNi2 crystal, with properties calculated at the GGA-PBE level.

Results
The density of states at the Fermi level is 3.97 states/eV/f.u. As for the formation energy: 27.2 kJ per mole of atoms. As for the total moment: 1.0 μB per formula unit.

Unit cell a=3.5087 b=3.5087 c=17.4116 alpha=90.00 beta=90.00 gamma=90.00
Space group I-42d (No. 122)
One atom of each set of equivalent atoms:
Ta 0.0000 0.0000 0.0000 x4
Fe 0.0000 0.0000 0.5000 x4
Ni 0.2291 0.2500 0.6250 x8



Record 4
Below is a relaxed Ba2BeBr crystal, with properties calculated at the GGA-PBE level.

Results
The density of states at the Fermi level is 4.19 states/eV/f.u. As for the total moment: 0.3 μB per formula unit. The value obtained for the distance to the lowest polymorph of the same formula is 77 meV per atom. The value obtained for the uncorrected formation energy is -0.39 eV/atom.

Unit cell a=5.4315 b=4.0694 c=12.8635 alpha=90.00 beta=90.00 gamma=90.00
Space group Amm2 (No. 38)
One atom of each set of equivalent atoms:
Ba 0.0000 0.0000 0.0000 x2
Ba 0.5000 0.0000 0.2452 x2
Be 0.5000 0.0000 0.5039 x2
Br 0.0000 0.0000 0.7393 x2